Density functional theory data (PBE-GGA) for NaIn2Ge2 after structural relaxation.

```
data_NaIn2Ge2
_cell_length_a 6.793
_cell_length_b 6.793
_cell_length_c 6.793
_cell_angle_alpha 139.27
_cell_angle_beta 139.27
_cell_angle_gamma 58.96
_symmetry_space_group_name_H-M 'P 1'
_symmetry_Int_Tables_number 1
_symmetry_space_group_name_Hall 'P 1'
loop_
_atom_site_label
_atom_site_type_symbol
_atom_site_fract_x
_atom_site_fract_y
_atom_site_fract_z
Na1 Na 0.000 0.000 0.000
In1 In 0.380 0.380 0.000
In2 In 0.620 0.620 0.000
Ge1 Ge 0.250 0.750 0.500
Ge2 Ge 0.750 0.250 0.500
```

Properties
As for the space group: I4/mmm, No. 139. The calculation puts the energy relative to the lowest polymorph listed for this composition at 36 meV/atom.

=====

Density functional theory data (PBE-GGA) for TcSn2Pb after structural relaxation.

```
data_TcSn2Pb
_cell_length_a 9.711
_cell_length_b 9.711
_cell_length_c 9.711
_cell_angle_alpha 150.60
_cell_angle_beta 150.60
_cell_angle_gamma 42.06
_symmetry_space_group_name_H-M 'P 1'
_symmetry_Int_Tables_number 1
_symmetry_space_group_name_Hall 'P 1'
loop_
_atom_site_label
_atom_site_type_symbol
_atom_site_fract_x
_atom_site_fract_y
_atom_site_fract_z
Tc1 Tc 0.000 0.000 0.000
Tc2 Tc 0.750 0.250 0.500
Sn1 Sn 0.047 0.625 0.922
Sn2 Sn 0.375 0.297 0.422
Sn3 Sn 0.703 0.125 0.078
Sn4 Sn 0.875 0.953 0.578
Pb1 Pb 0.250 0.750 0.500
Pb2 Pb 0.500 0.500 0.000
```

Properties
As for the space group: I-42d, No. 122.

=====

What E_tot values result from the calculations? In sequence: -15.858; -39.112 eV per cell.
What volume values result from the calculations? In sequence: 132.2; 220.2 Å³/cell.
What ΔE_f values result from the calculations? In sequence: 0.03; 0.63 eV per atom.